[1]
Here is a relaxed structure of PuHfPb2 from Alexandria via LeMat-Bulk. Energies are from GGA-PBE.

Cell: 4.4664 4.8074 4.8074 Å, 90.00 90.00 90.00°
With the nearest neighbours (Å) after each atom.
Fractional coordinates of all 4 atoms:
Pb 0.0000 0.0000 0.5000  4 Hf 3.28, 4 Pu 3.28, 4 Pb 3.40
Pb 0.0000 0.5000 0.0000  4 Hf 3.28, 4 Pu 3.28, 4 Pb 3.40
Hf 0.5000 0.0000 0.0000  8 Pb 3.28, 4 Pu 3.40
Pu 0.5000 0.5000 0.5000  8 Pb 3.28, 4 Hf 3.40

Output
The calculation puts the total energy at -7.872 eV/atom. The symmetry is No. 123.

=====

[2]
Here is a relaxed structure of RbCo from Alexandria via LeMat-Bulk. Energies are from GGA-PBE.

Cell: 7.2413 7.2413 7.2413 Å, 90.00 90.00 90.00°
With the nearest neighbours (Å) after each atom.
Fractional coordinates of all 8 atoms:
Rb 0.5000 0.5000 0.5000  6 Co 3.62
Rb 0.5000 0.0000 0.0000  6 Co 3.62
Rb 0.0000 0.5000 0.0000  6 Co 3.62
Rb 0.0000 0.0000 0.5000  6 Co 3.62
Co 0.0000 0.0000 0.0000  6 Rb 3.62
Co 0.0000 0.5000 0.5000  6 Rb 3.62
Co 0.5000 0.0000 0.5000  6 Rb 3.62
Co 0.5000 0.5000 0.0000  6 Rb 3.62

Output
The calculation puts the total energy at -2.395 eV/atom. The symmetry is No. 225.

=====

[3]
Here is a relaxed structure of La3Zn3Ge2 from Alexandria via LeMat-Bulk. Energies are from GGA-PBE.

Cell: 4.2730 6.1884 16.0102 Å, 90.00 90.00 110.20°
With the nearest neighbours (Å) after each atom.
Fractional coordinates of all 16 atoms:
La 0.8544 0.7088 0.4088  4 Ge 3.20-3.48, 7 Zn 3.24-3.40
La 0.1456 0.2912 0.9088  4 Ge 3.20-3.48, 7 Zn 3.24-3.40
La 0.8544 0.7088 0.0912  4 Ge 3.20-3.48, 7 Zn 3.24-3.40
La 0.1456 0.2912 0.5912  4 Ge 3.20-3.48, 7 Zn 3.24-3.40
La 0.5666 0.1331 0.2500  5 Zn 3.17-3.38, 4 Ge 3.18
La 0.4334 0.8669 0.7500  5 Zn 3.17-3.38, 4 Ge 3.18
Zn 0.5756 0.1511 0.4477  1 Zn 2.43, 2 Ge 2.53
Zn 0.4244 0.8489 0.9477  1 Zn 2.43, 2 Ge 2.53
Zn 0.5756 0.1511 0.0523  1 Zn 2.43, 2 Ge 2.53
Zn 0.4244 0.8489 0.5523  1 Zn 2.43, 2 Ge 2.53
Zn 0.2918 0.5836 0.2500  2 Ge 2.68
Zn 0.7082 0.4164 0.7500  2 Ge 2.68
Ge 0.8477 0.6954 0.8836  3 Zn 2.53-2.68
Ge 0.1523 0.3046 0.3836  3 Zn 2.53-2.68
Ge 0.8477 0.6954 0.6164  3 Zn 2.53-2.68
Ge 0.1523 0.3046 0.1164  3 Zn 2.53-2.68

Output
The calculation puts the total energy at -4.060 eV/atom. The symmetry is No. 63.

=====

[4]
Here is a relaxed structure of Sc2BiTe from Alexandria via LeMat-Bulk. Energies are from GGA-PBE.

Cell: 9.6741 9.6741 9.6741 Å, 22.80 22.80 22.80°
With the nearest neighbours (Å) after each atom.
Fractional coordinates of all 4 atoms:
Sc 0.8979 0.8979 0.8979  3 Te 2.86, 1 Bi 2.88
Sc 0.1021 0.1021 0.1021  3 Te 2.86, 1 Bi 2.88
Te 0.5000 0.5000 0.5000  6 Sc 2.86
Bi 0.0000 0.0000 0.0000  2 Sc 2.88

Output
The symmetry is No. 166. The calculation puts the formation energy from raw total energies at -0.37 eV/atom.

=====

[5]
Here is a relaxed structure of Th3Co7Cu2 from Alexandria via LeMat-Bulk. Energies are from GGA-PBE.

Cell: 5.0229 5.0229 8.8707 Å, 73.55 73.55 60.00°
With the nearest neighbours (Å) after each atom.
Fractional coordinates of all 12 atoms:
Th 0.0000 0.0000 0.0000  6 Cu 2.90, 12 Co 3.25
Th 0.8629 0.8629 0.4112  9 Co 2.87-2.99
Th 0.1371 0.1371 0.5888  9 Co 2.87-2.99
Co 0.5000 0.5000 0.5000  6 Co 2.58
Co 0.9198 0.4174 0.2454  5 Co 2.50-2.58, 2 Cu 2.51-2.52
Co 0.4174 0.9198 0.2454  5 Co 2.50-2.58, 2 Cu 2.51-2.52
Co 0.4174 0.4174 0.2454  5 Co 2.50-2.58, 2 Cu 2.51-2.52
Co 0.0802 0.5826 0.7546  5 Co 2.50-2.58, 2 Cu 2.51-2.52
Co 0.5826 0.5826 0.7546  5 Co 2.50-2.58, 2 Cu 2.51-2.52
Co 0.5826 0.0802 0.7546  5 Co 2.50-2.58, 2 Cu 2.51-2.52
Cu 0.6663 0.6663 0.0012  6 Co 2.51-2.52
Cu 0.3337 0.3337 0.9988  6 Co 2.51-2.52

Output
The calculation puts the total energy at -6.868 eV/atom. The symmetry is No. 166.

=====

[6]
Here is a relaxed structure of PrDyZn2 from Alexandria via LeMat-Bulk. Energies are from GGA-PBE.

Cell: 5.1504 5.1504 5.1504 Å, 60.00 60.00 60.00°
With the nearest neighbours (Å) after each atom.
Fractional coordinates of all 4 atoms:
Pr 0.0000 0.0000 0.0000  8 Zn 3.15
Zn 0.2500 0.2500 0.2500  4 Dy 3.15, 4 Pr 3.15
Zn 0.7500 0.7500 0.7500  4 Pr 3.15, 4 Dy 3.15
Dy 0.5000 0.5000 0.5000  8 Zn 3.15

Output
The calculation puts the total energy at -3.294 eV/atom. The symmetry is No. 225.

=====

[7]
Here is a relaxed structure of BaTeW2 from Alexandria via LeMat-Bulk. Energies are from GGA-PBE.

Cell: 4.7791 4.7791 3.7476 Å, 90.00 90.00 90.00°
With the nearest neighbours (Å) after each atom.
Fractional coordinates of all 4 atoms:
Ba 0.5000 0.0000 0.5000  8 W 3.04, 4 Te 3.38
Te 0.0000 0.5000 0.5000  8 W 3.04, 4 Ba 3.38
W 0.0000 0.0000 0.0000  4 Ba 3.04, 4 Te 3.04, 4 W 3.38
W 0.5000 0.5000 0.0000  4 Ba 3.04, 4 Te 3.04, 4 W 3.38

Output
The symmetry is No. 123. The calculation puts the formation energy from raw total energies at 1.62 eV/atom.

=====

[8]
Here is a relaxed structure of ThGa3NiPd from Alexandria via LeMat-Bulk. Energies are from GGA-PBE.

Cell: 6.0231 5.9905 6.7989 Å, 116.14 90.00 90.00°
With the nearest neighbours (Å) after each atom.
Fractional coordinates of all 12 atoms:
Th 0.7500 0.2755 0.5509  1 Ni 2.54
Th 0.2500 0.7245 0.4491  1 Ni 2.54
Ga 0.2500 0.1384 0.2768  1 Ni 2.52, 1 Pd 2.54
Ga 0.0000 0.2856 0.0000  2 Ni 2.42, 1 Ga 2.57
Ga 0.5000 0.7144 0.0000  2 Ni 2.42, 1 Ga 2.57
Ga 0.5000 0.2856 0.0000  2 Ni 2.42, 1 Ga 2.57
Ga 0.0000 0.7144 0.0000  2 Ni 2.42, 1 Ga 2.57
Ga 0.7500 0.8616 0.7232  1 Ni 2.52, 1 Pd 2.54
Ni 0.2500 0.9322 0.8645  5 Ga 2.42-2.52, 1 Th 2.54
Ni 0.7500 0.0678 0.1355  5 Ga 2.42-2.52, 1 Th 2.54
Pd 0.2500 0.3465 0.6931  5 Ga 2.54-2.72
Pd 0.7500 0.6535 0.3069  5 Ga 2.54-2.72

Output
The calculation puts the total energy at -5.025 eV/atom. The symmetry is No. 63.